Record 1
LaPr2GaCl3 (PBE, relaxed); energy = -4.863 eV/atom; SG = P4/mmm; total magnetic moment = 0.0 Bohr magnetons per cell
1.0
5.8937 0.0000 0.0000
0.0000 5.8937 0.0000
0.0000 0.0000 5.9243
La Pr Ga Cl
1 2 1 3
Cartesian
0.0000 0.0000 0.0000
0.0000 2.9469 2.9622
2.9469 0.0000 2.9622
0.0000 0.0000 2.9622
0.0000 2.9469 0.0000
2.9469 0.0000 0.0000
2.9469 2.9469 2.9622



Record 2
FeSe3 (PBE, relaxed); energy = -4.115 eV/atom; SG = Fm-3m; total magnetic moment = 2.8 Bohr magnetons per cell
1.0
0.0000 3.3055 3.3055
3.3055 0.0000 3.3055
3.3055 3.3055 0.0000
Fe Se
1 3
Cartesian
0.0000 0.0000 0.0000
1.6528 1.6528 1.6528
3.3055 3.3055 3.3055
4.9583 4.9583 4.9583



Record 3
LuSbPdC (PBE, relaxed); energy = -5.457 eV/atom; SG = P-6m2; total magnetic moment = 0.0 Bohr magnetons per cell
1.0
4.4191 0.0000 0.0000
-2.2095 3.8270 0.0000
0.0000 0.0000 8.5731
Lu Sb Pd C
2 2 2 2
Cartesian
0.0000 0.0000 0.0000
0.0000 2.5513 4.2866
2.2095 1.2757 2.3015
2.2095 1.2757 6.2717
0.0000 2.5513 1.3953
0.0000 2.5513 7.1778
0.0000 0.0000 2.5051
0.0000 0.0000 6.0680



> Which of these has the highest total magnetic moment?

FeSe3



> Look up the energy of the first one.

-4.863 eV/atom